{"formula": "TlTe2Br2", "functional": "GGA-PBEsol", "state": "optimized geometry", "e_tot_ev_per_fu": -14.24, "spacegroup": "No. 139", "cell": [[4.1621, 0.0000, 0.0000], [0.0000, 4.1621, 0.0000], [-2.0810, -2.0810, 9.2400]], "species": ["Te", "Tl", "Br", "Br", "Te"], "frac_coords": [[0.7500, 0.2500, 0.5000], [0.0000, 0.0000, 0.0000], [0.5897, 0.5897, 0.1794], [0.4103, 0.4103, 0.8206], [0.2500, 0.7500, 0.5000]]}